Record 1
# RbNd2CuTe3S

A relaxed RbNd2CuTe3S crystal (PBE, the Open Quantum Materials Database).

Unit cell a=7.980 b=7.980 c=15.212 alpha=90.00 beta=90.00 gamma=148.16
Atoms (fractional coordinates):
Rb1 0.086 0.914 0.750
Rb2 0.914 0.086 0.250
Nd1 0.364 0.636 0.575
Nd2 0.364 0.636 0.925
Nd3 0.636 0.364 0.075
Nd4 0.636 0.364 0.425
Cu1 0.159 0.841 0.250
Cu2 0.841 0.159 0.750
Te1 0.000 0.000 0.000
Te2 0.000 0.000 0.500
Te3 0.272 0.728 0.118
Te4 0.272 0.728 0.382
Te5 0.728 0.272 0.618
Te6 0.728 0.272 0.882
S1 0.417 0.583 0.750
S2 0.583 0.417 0.250

Properties
Raw total energy ... -37.87 eV/f.u.
Magnetization ... 0.00 μB per formula unit

---

Record 2
# RbNd2Cu3Te4S

A relaxed RbNd2Cu3Te4S crystal (PBE, the Open Quantum Materials Database).

Unit cell a=8.088 b=8.088 c=18.078 alpha=90.00 beta=90.00 gamma=148.76
Atoms (fractional coordinates):
Rb1 0.072 0.928 0.750
Rb2 0.928 0.072 0.250
Nd1 0.196 0.804 0.100
Nd2 0.196 0.804 0.400
Nd3 0.804 0.196 0.600
Nd4 0.804 0.196 0.900
Cu1 0.330 0.670 0.750
Cu2 0.416 0.584 0.019
Cu3 0.416 0.584 0.481
Cu4 0.584 0.416 0.519
Cu5 0.584 0.416 0.981
Cu6 0.670 0.330 0.250
Te1 0.158 0.842 0.572
Te2 0.158 0.842 0.928
Te3 0.447 0.553 0.624
Te4 0.447 0.553 0.876
Te5 0.553 0.447 0.124
Te6 0.553 0.447 0.376
Te7 0.842 0.158 0.072
Te8 0.842 0.158 0.428
S1 0.234 0.766 0.250
S2 0.766 0.234 0.750

Properties
Raw total energy ... -48.45 eV/f.u.
Magnetization ... 0.00 μB per formula unit

---

Record 3
# RbNdCu3Se4

A relaxed RbNdCu3Se4 crystal (PBE, the Open Quantum Materials Database).

Unit cell a=6.553 b=6.553 c=6.553 alpha=90.00 beta=90.00 gamma=90.00
Atoms (fractional coordinates):
Rb1 0.000 0.000 0.000
Nd1 0.500 0.500 0.500
Cu1 0.000 0.500 0.500
Cu2 0.500 0.000 0.500
Cu3 0.500 0.500 0.000
Se1 0.265 0.265 0.265
Se2 0.265 0.735 0.735
Se3 0.735 0.265 0.735
Se4 0.735 0.735 0.265

Properties
Raw total energy ... -34.52 eV/f.u.
Magnetization ... 0.92 μB per formula unit

---

Record 4
# RbNd2Cu3Se5

A relaxed RbNd2Cu3Se5 crystal (PBE, the Open Quantum Materials Database).

Unit cell a=7.608 b=7.608 c=17.610 alpha=90.00 beta=90.00 gamma=148.01
Atoms (fractional coordinates):
Rb1 0.062 0.938 0.750
Rb2 0.938 0.062 0.250
Nd1 0.192 0.808 0.092
Nd2 0.192 0.808 0.408
Nd3 0.808 0.192 0.592
Nd4 0.808 0.192 0.908
Cu1 0.338 0.662 0.750
Cu2 0.415 0.585 0.027
Cu3 0.415 0.585 0.473
Cu4 0.585 0.415 0.527
Cu5 0.585 0.415 0.973
Cu6 0.662 0.338 0.250
Se1 0.161 0.839 0.572
Se2 0.161 0.839 0.928
Se3 0.244 0.756 0.250
Se4 0.445 0.555 0.616
Se5 0.445 0.555 0.884
Se6 0.555 0.445 0.116
Se7 0.555 0.445 0.384
Se8 0.756 0.244 0.750
Se9 0.839 0.161 0.072
Se10 0.839 0.161 0.428

Properties
Raw total energy ... -51.30 eV/f.u.
Magnetization ... 0.00 μB per formula unit

---

Record 5
# RbNd2Cu3Te5

A relaxed RbNd2Cu3Te5 crystal (PBE, the Open Quantum Materials Database).

Unit cell a=8.063 b=8.063 c=18.626 alpha=90.00 beta=90.00 gamma=148.04
Atoms (fractional coordinates):
Rb1 0.056 0.944 0.750
Rb2 0.944 0.056 0.250
Nd1 0.193 0.807 0.090
Nd2 0.193 0.807 0.410
Nd3 0.807 0.193 0.590
Nd4 0.807 0.193 0.910
Cu1 0.336 0.664 0.750
Cu2 0.415 0.585 0.021
Cu3 0.415 0.585 0.479
Cu4 0.585 0.415 0.521
Cu5 0.585 0.415 0.979
Cu6 0.664 0.336 0.250
Te1 0.157 0.843 0.574
Te2 0.157 0.843 0.926
Te3 0.250 0.750 0.250
Te4 0.447 0.553 0.619
Te5 0.447 0.553 0.881
Te6 0.553 0.447 0.119
Te7 0.553 0.447 0.381
Te8 0.750 0.250 0.750
Te9 0.843 0.157 0.074
Te10 0.843 0.157 0.426

Properties
Raw total energy ... -46.70 eV/f.u.
Magnetization ... 0.00 μB per formula unit

---

Record 6
# RbNd2CuTe4

A relaxed RbNd2CuTe4 crystal (PBE, the Open Quantum Materials Database).

Unit cell a=8.114 b=8.114 c=15.704 alpha=90.00 beta=90.00 gamma=147.88
Atoms (fractional coordinates):
Rb1 0.109 0.891 0.750
Rb2 0.891 0.109 0.250
Nd1 0.364 0.636 0.564
Nd2 0.364 0.636 0.936
Nd3 0.636 0.364 0.064
Nd4 0.636 0.364 0.436
Cu1 0.160 0.840 0.250
Cu2 0.840 0.160 0.750
Te1 0.000 0.000 0.000
Te2 0.000 0.000 0.500
Te3 0.266 0.734 0.116
Te4 0.266 0.734 0.384
Te5 0.432 0.568 0.750
Te6 0.568 0.432 0.250
Te7 0.734 0.266 0.616
Te8 0.734 0.266 0.884

Properties
Raw total energy ... -36.16 eV/f.u.
Magnetization ... 0.00 μB per formula unit

---

Record 7
# Nd2CuReSb4

A relaxed Nd2CuReSb4 crystal (PBE, the Open Quantum Materials Database).

Unit cell a=4.354 b=4.354 c=10.336 alpha=90.00 beta=90.00 gamma=90.00
Atoms (fractional coordinates):
Nd1 0.000 0.500 0.243
Nd2 0.500 0.000 0.757
Cu1 0.000 0.000 0.500
Re1 0.500 0.500 0.500
Sb1 0.000 0.000 0.000
Sb2 0.000 0.500 0.651
Sb3 0.500 0.000 0.349
Sb4 0.500 0.500 0.000

Properties
Raw total energy ... -45.30 eV/f.u.
Magnetization ... 0.02 μB per formula unit

---

Record 8
# NdCuS2

A relaxed NdCuS2 crystal (PBE, the Open Quantum Materials Database).

Unit cell a=7.320 b=7.320 c=7.320 alpha=134.25 beta=134.25 gamma=66.70
Atoms (fractional coordinates):
Nd1 0.000 0.000 0.000
Nd2 0.750 0.250 0.500
Cu1 0.250 0.750 0.500
Cu2 0.500 0.500 0.000
S1 0.178 0.125 0.553
S2 0.375 0.822 0.947
S3 0.572 0.625 0.447
S4 0.875 0.428 0.053

Properties
Raw total energy ... -21.33 eV/f.u.
Magnetization ... 0.00 μB per formula unit